Record 1
Computed, not measured: CaMgOs2 after structural relaxation at the PBE level of DFT.

```
CaMgOs2
1.0
5.8698 0.0001 -0.0034
3.0836 4.9946 0.0034
-3.8226 -3.6700 2.5246
Os Ca Mg
2 1 1
direct
0.7824 0.2824 0.5000 Os
0.9830 0.9830 0.0000 Os
0.5145 0.5145 0.0000 Ca
0.2201 0.7201 0.5000 Mg
```

VASP energy: -24.47 eV/cell

***

Record 2
Computed, not measured: CaMgOs2 after structural relaxation at the PBE level of DFT.

```
CaMgOs2
1.0
-0.6901 4.3283 -1.3667
-2.1113 2.9776 2.7847
2.3770 3.4225 1.9273
Mg Os Ca
1 2 1
direct
0.2500 0.2500 0.2500 Mg
0.7500 0.7500 0.7500 Os
0.0000 0.0000 0.0000 Os
0.5000 0.5000 0.5000 Ca
```

VASP energy: -24.17 eV/cell

***

no.,formation enthalpy at 0 K (eV/atom),D(E_F) (states/eV/f.u.),total moment (Bohr magnetons per cell)
1,0.396,2.315,0.00
2,0.471,3.161,0.00